# PBE-GGA ScCu2Au, optimized geometry
data_ScCu2Au
_space_group_name_H-M_alt 'I 4/m m m'
_space_group_IT_number 139
_space_group_name_Hall '-I 4 2'
_cell_length_a 4.056
_cell_length_b 4.056
_cell_length_c 7.592
_cell_angle_alpha 90.00
_cell_angle_beta 90.00
_cell_angle_gamma 90.00
loop_
_atom_site_label
_atom_site_type_symbol
_atom_site_fract_x
_atom_site_fract_y
_atom_site_fract_z
Sc1 Sc 0.000 0.000 0.000
Cu1 Cu 0.000 0.500 0.250
Au1 Au 0.000 0.000 0.500
# Total magnetization = 0.0 Bohr magnetons per cell
# N(E_F) = 2.3 states/eV/f.u.
# Energy of formation = -0.359 eV per atom